Density functional theory data (PBE) for CuNi3Pd after structural relaxation.

As for the size of the total moment: 2.02 μB/f.u. As for the symmetry: No. 12. For the volume, the calculation gives 12.1 Å³ per atom. As for the density of states at the Fermi level: 7.27 states/eV/f.u. The energy relative to the lowest polymorph listed for this composition is 0 meV per atom.

Unit cell a=6.8752 b=6.8752 c=5.2099 alpha=100.88 beta=100.88 gamma=30.01
Sites, in units of the cell vectors:
Cu (0.0007, 0.0007, 0.2640)
Cu (0.9993, 0.9993, 0.7360)
Ni (0.2008, 0.2008, 0.8384)
Ni (0.2050, 0.2050, 0.3606)
Ni (0.3972, 0.3972, 0.4493)
Ni (0.6028, 0.6028, 0.5507)
Ni (0.7950, 0.7950, 0.6394)
Ni (0.7992, 0.7992, 0.1616)
Pd (0.3961, 0.3961, 0.9486)
Pd (0.6039, 0.6039, 0.0514)



Density functional theory data (PBE) for Cu2NiPd8 after structural relaxation.

As for the size of the total moment: 2.56 μB/f.u. As for the symmetry: No. 12. For the volume, the calculation gives 14.5 Å³ per atom. As for the density of states at the Fermi level: 19.26 states/eV/f.u. The energy relative to the lowest polymorph listed for this composition is 0 meV per atom.

Unit cell a=7.1995 b=7.1995 c=6.1565 alpha=105.57 beta=105.57 gamma=31.42
Sites, in units of the cell vectors:
Cu (0.2271, 0.2271, 0.1354)
Cu (0.7729, 0.7729, 0.8646)
Ni (0.5000, 0.5000, 0.5000)
Pd (0.0462, 0.0462, 0.2320)
Pd (0.1385, 0.1385, 0.6887)
Pd (0.3190, 0.3190, 0.5869)
Pd (0.4056, 0.4056, 0.0473)
Pd (0.5944, 0.5944, 0.9527)
Pd (0.6810, 0.6810, 0.4131)
Pd (0.8615, 0.8615, 0.3113)
Pd (0.9538, 0.9538, 0.7680)



Density functional theory data (PBE) for Cu2Ni3Pd8 after structural relaxation.

As for the size of the total moment: 4.76 μB/f.u. As for the symmetry: No. 65. For the volume, the calculation gives 15.0 Å³ per atom. As for the density of states at the Fermi level: 19.46 states/eV/f.u. The energy relative to the lowest polymorph listed for this composition is 0 meV per atom.

Unit cell a=7.3557 b=7.3557 c=4.3929 alpha=90.00 beta=90.00 gamma=124.84
Sites, in units of the cell vectors:
Cu (0.2198, 0.7802, 0.0000)
Cu (0.7802, 0.2198, 0.0000)
Ni (0.0000, 0.0000, 0.0000)
Ni (0.3188, 0.3188, 0.5000)
Ni (0.6812, 0.6812, 0.5000)
Pd (0.1104, 0.8896, 0.5000)
Pd (0.1931, 0.4096, 0.0000)
Pd (0.3232, 0.6768, 0.5000)
Pd (0.4096, 0.1931, 0.0000)
Pd (0.5904, 0.8069, 0.0000)
Pd (0.6768, 0.3232, 0.5000)
Pd (0.8069, 0.5904, 0.0000)
Pd (0.8896, 0.1104, 0.5000)



Density functional theory data (PBE) for Cu7Ni4Pd after structural relaxation.

As for the size of the total moment: 0.11 μB/f.u. As for the symmetry: No. 2. For the volume, the calculation gives 11.9 Å³ per atom. The calculation puts the total energy at -56.9 eV/cell. As for the density of states at the Fermi level: 12.48 states/eV/f.u.

Unit cell a=4.3983 b=5.1637 c=6.7396 alpha=101.25 beta=108.24 gamma=90.07
Sites, in units of the cell vectors:
Cu (0.0000, 0.0000, 0.0000)
Cu (0.0031, 0.8386, 0.3387)
Cu (0.4912, 0.4157, 0.6615)
Cu (0.4976, 0.7584, 0.9988)
Cu (0.5024, 0.2416, 0.0012)
Cu (0.5088, 0.5843, 0.3385)
Cu (0.9969, 0.1614, 0.6613)
Ni (0.0013, 0.6709, 0.6612)
Ni (0.4974, 0.0864, 0.3356)
Ni (0.5026, 0.9136, 0.6644)
Ni (0.9987, 0.3291, 0.3388)
Pd (0.0000, 0.5000, 0.0000)